1.
# Nd2GaIr2Rh5 PBE-GGA optimized geometry
data_Nd2GaIr2Rh5
_chemical_formula_sum 'Nd4 Ga2 Ir4 Rh10'
_cell_length_a 9.6135
_cell_length_b 9.6135
_cell_length_c 3.8909
_cell_angle_alpha 90.00
_cell_angle_beta 90.00
_cell_angle_gamma 90.00
_space_group_name_H-M_alt 'P 4/m b m'
_space_group_IT_number 127
_space_group_name_Hall '-P 4 2ab'
loop_
_atom_site_label
_atom_site_type_symbol
_atom_site_fract_x
_atom_site_fract_y
_atom_site_fract_z
Nd1 Nd 0.1680 0.3320 0.0000
Ga1 Ga 0.0000 0.0000 0.0000
Ir1 Ir 0.1317 0.6317 0.0000
Rh1 Rh 0.0000 0.5000 0.5000
Rh2 Rh 0.0627 0.8062 0.5000
# ΔE_f: -0.336 eV per atom

---

2.
# NdGa4IrRh2 PBE-GGA optimized geometry
data_NdGa4IrRh2
_chemical_formula_sum 'Nd3 Ga12 Ir3 Rh6'
_cell_length_a 4.2565
_cell_length_b 4.2565
_cell_length_c 26.4577
_cell_angle_alpha 90.00
_cell_angle_beta 90.00
_cell_angle_gamma 120.00
_space_group_name_H-M_alt 'R -3 m'
_space_group_IT_number 166
_space_group_name_Hall '-R 3 2"'
loop_
_atom_site_label
_atom_site_type_symbol
_atom_site_fract_x
_atom_site_fract_y
_atom_site_fract_z
Nd1 Nd 0.0000 0.0000 0.0000
Ga1 Ga 0.0000 0.0000 0.1318
Ga2 Ga 0.0000 0.0000 0.4014
Ir1 Ir 0.0000 0.0000 0.5000
Rh1 Rh 0.0000 0.0000 0.2340
# ΔE_f: -0.646 eV per atom

---

3.
# Nd2Ga4Ir3Rh PBE-GGA optimized geometry
data_Nd2Ga4Ir3Rh
_chemical_formula_sum 'Nd2 Ga4 Ir3 Rh1'
_cell_length_a 4.3017
_cell_length_b 4.3017
_cell_length_c 10.2137
_cell_angle_alpha 90.00
_cell_angle_beta 90.00
_cell_angle_gamma 90.00
_space_group_name_H-M_alt 'P -4 m 2'
_space_group_IT_number 115
loop_
_space_group_symop_operation_xyz
'x,y,z'
'y,-x,-z'
'-x,-y,z'
'-y,x,-z'
'-x,y,z'
'-y,-x,-z'
'x,-y,z'
'y,x,-z'
loop_
_atom_site_label
_atom_site_type_symbol
_atom_site_fract_x
_atom_site_fract_y
_atom_site_fract_z
Nd1 Nd 0.0000 0.5000 0.2406
Ga1 Ga 0.0000 0.0000 0.5000
Ga2 Ga 0.0000 0.5000 0.8754
Ga3 Ga 0.5000 0.5000 0.5000
Ir1 Ir 0.0000 0.0000 0.0000
Ir2 Ir 0.0000 0.5000 0.6317
Rh1 Rh 0.5000 0.5000 0.0000
# ΔE_f: -0.738 eV per atom

---

4.
# NdGa2IrRh PBE-GGA optimized geometry
data_NdGa2IrRh
_chemical_formula_sum 'Nd2 Ga4 Ir2 Rh2'
_cell_length_a 4.2934
_cell_length_b 4.2934
_cell_length_c 10.1359
_cell_angle_alpha 90.00
_cell_angle_beta 90.00
_cell_angle_gamma 90.00
_space_group_name_H-M_alt 'I -4 m 2'
_space_group_IT_number 119
_space_group_name_Hall 'I -4 -2'
loop_
_atom_site_label
_atom_site_type_symbol
_atom_site_fract_x
_atom_site_fract_y
_atom_site_fract_z
Nd1 Nd 0.0000 0.0000 0.0000
Ga1 Ga 0.0000 0.0000 0.3732
Ir1 Ir 0.0000 0.5000 0.7500
Rh1 Rh 0.0000 0.5000 0.2500
# ΔE_f: -0.758 eV per atom

---

5.
# Nd2Ga5IrRh2 PBE-GGA optimized geometry
data_Nd2Ga5IrRh2
_chemical_formula_sum 'Nd4 Ga10 Ir2 Rh4'
_cell_length_a 9.9715
_cell_length_b 9.9715
_cell_length_c 3.7405
_cell_angle_alpha 90.00
_cell_angle_beta 90.00
_cell_angle_gamma 90.00
_space_group_name_H-M_alt 'P 4/m b m'
_space_group_IT_number 127
_space_group_name_Hall '-P 4 2ab'
loop_
_atom_site_label
_atom_site_type_symbol
_atom_site_fract_x
_atom_site_fract_y
_atom_site_fract_z
Nd1 Nd 0.1866 0.3134 0.0000
Ga1 Ga 0.0000 0.5000 0.5000
Ga2 Ga 0.0482 0.8098 0.5000
Ir1 Ir 0.0000 0.0000 0.0000
Rh1 Rh 0.1145 0.6145 0.0000
# ΔE_f: -0.526 eV per atom

---

6.
# NdGa4Ir2Ru PBE-GGA optimized geometry
data_NdGa4Ir2Ru
_chemical_formula_sum 'Nd3 Ga12 Ir6 Ru3'
_cell_length_a 4.2640
_cell_length_b 4.2640
_cell_length_c 26.2054
_cell_angle_alpha 90.00
_cell_angle_beta 90.00
_cell_angle_gamma 120.00
_space_group_name_H-M_alt 'R -3 m'
_space_group_IT_number 166
_space_group_name_Hall '-R 3 2"'
loop_
_atom_site_label
_atom_site_type_symbol
_atom_site_fract_x
_atom_site_fract_y
_atom_site_fract_z
Nd1 Nd 0.0000 0.0000 0.0000
Ga1 Ga 0.0000 0.0000 0.1327
Ga2 Ga 0.0000 0.0000 0.4023
Ir1 Ir 0.0000 0.0000 0.2372
Ru1 Ru 0.0000 0.0000 0.5000
# ΔE_f: -0.542 eV per atom

---

7.
# Nd2Ga5IrRu2 PBE-GGA optimized geometry
data_Nd2Ga5IrRu2
_chemical_formula_sum 'Nd4 Ga10 Ir2 Ru4'
_cell_length_a 10.7535
_cell_length_b 10.7535
_cell_length_c 3.1496
_cell_angle_alpha 90.00
_cell_angle_beta 90.00
_cell_angle_gamma 90.00
_space_group_name_H-M_alt 'P 4/m b m'
_space_group_IT_number 127
_space_group_name_Hall '-P 4 2ab'
loop_
_atom_site_label
_atom_site_type_symbol
_atom_site_fract_x
_atom_site_fract_y
_atom_site_fract_z
Nd1 Nd 0.1803 0.3197 0.0000
Ga1 Ga 0.0000 0.5000 0.5000
Ga2 Ga 0.0545 0.8085 0.5000
Ir1 Ir 0.0000 0.0000 0.0000
Ru1 Ru 0.1287 0.6287 0.0000
# ΔE_f: -0.366 eV per atom

---

8.
# NdGa3IrRu PBE-GGA optimized geometry
data_NdGa3IrRu
_chemical_formula_sum 'Nd4 Ga12 Ir4 Ru4'
_cell_length_a 7.9481
_cell_length_b 10.8157
_cell_length_c 5.8832
_cell_angle_alpha 90.00
_cell_angle_beta 90.00
_cell_angle_gamma 90.00
_space_group_name_H-M_alt 'C m c m'
_space_group_IT_number 63
_space_group_name_Hall '-C 2c 2'
loop_
_atom_site_label
_atom_site_type_symbol
_atom_site_fract_x
_atom_site_fract_y
_atom_site_fract_z
Nd1 Nd 0.0000 0.2334 0.2500
Ga1 Ga 0.0000 0.2636 0.7500
Ga2 Ga 0.2449 0.0000 0.0000
Ir1 Ir 0.0000 0.4809 0.7500
Ru1 Ru 0.0000 0.0480 0.7500
# ΔE_f: -0.369 eV per atom

---

9.
# NdGa2IrRu PBE-GGA optimized geometry
data_NdGa2IrRu
_chemical_formula_sum 'Nd2 Ga4 Ir2 Ru2'
_cell_length_a 4.3912
_cell_length_b 4.3912
_cell_length_c 9.7551
_cell_angle_alpha 90.00
_cell_angle_beta 90.00
_cell_angle_gamma 90.00
_space_group_name_H-M_alt 'I -4 m 2'
_space_group_IT_number 119
_space_group_name_Hall 'I -4 -2'
loop_
_atom_site_label
_atom_site_type_symbol
_atom_site_fract_x
_atom_site_fract_y
_atom_site_fract_z
Nd1 Nd 0.0000 0.0000 0.0000
Ga1 Ga 0.0000 0.0000 0.3680
Ir1 Ir 0.0000 0.5000 0.2500
Ru1 Ru 0.0000 0.5000 0.7500
# ΔE_f: -0.569 eV per atom

---

10.
# Nd2Ga3SbIr4 PBE-GGA optimized geometry
data_Nd2Ga3SbIr4
_chemical_formula_sum 'Nd2 Ga3 Sb1 Ir4'
_cell_length_a 4.3997
_cell_length_b 4.3997
_cell_length_c 10.1658
_cell_angle_alpha 90.00
_cell_angle_beta 90.00
_cell_angle_gamma 90.00
_space_group_name_H-M_alt 'P -4 m 2'
_space_group_IT_number 115
loop_
_space_group_symop_operation_xyz
'x,y,z'
'y,-x,-z'
'-x,-y,z'
'-y,x,-z'
'-x,y,z'
'-y,-x,-z'
'x,-y,z'
'y,x,-z'
loop_
_atom_site_label
_atom_site_type_symbol
_atom_site_fract_x
_atom_site_fract_y
_atom_site_fract_z
Nd1 Nd 0.0000 0.5000 0.2343
Ga1 Ga 0.0000 0.5000 0.8774
Ga2 Ga 0.5000 0.5000 0.5000
Sb1 Sb 0.0000 0.0000 0.5000
Ir1 Ir 0.0000 0.0000 0.0000
Ir2 Ir 0.0000 0.5000 0.6344
Ir3 Ir 0.5000 0.5000 0.0000
# uncorrected formation energy: -0.6778 eV per atom

---

11.
# NdScGaIr PBE-GGA optimized geometry
data_NdScGaIr
_chemical_formula_sum 'Nd4 Sc4 Ga4 Ir4'
_cell_length_a 6.9487
_cell_length_b 6.9487
_cell_length_c 6.9487
_cell_angle_alpha 90.00
_cell_angle_beta 90.00
_cell_angle_gamma 90.00
_space_group_name_H-M_alt 'F -4 3 m'
_space_group_IT_number 216
_space_group_name_Hall 'F -4 2 3'
loop_
_atom_site_label
_atom_site_type_symbol
_atom_site_fract_x
_atom_site_fract_y
_atom_site_fract_z
Nd1 Nd 0.0000 0.0000 0.0000
Sc1 Sc 0.0000 0.0000 0.5000
Ga1 Ga 0.2500 0.2500 0.7500
Ir1 Ir 0.2500 0.2500 0.2500
# ΔE_f: -0.570 eV per atom

---

12.
# NdSmGaIr PBE-GGA optimized geometry
data_NdSmGaIr
_chemical_formula_sum 'Nd2 Sm2 Ga2 Ir2'
_cell_length_a 4.2663
_cell_length_b 4.2179
_cell_length_c 10.8625
_cell_angle_alpha 90.00
_cell_angle_beta 90.00
_cell_angle_gamma 90.00
_space_group_name_H-M_alt 'A m m 2'
_space_group_IT_number 38
loop_
_space_group_symop_operation_xyz
'x,y,z'
'-x,-y,z'
'-x,y,z'
'x,-y,z'
'x,y+1/2,z+1/2'
'-x,-y+1/2,z+1/2'
'-x,y+1/2,z+1/2'
'x,-y+1/2,z+1/2'
loop_
_atom_site_label
_atom_site_type_symbol
_atom_site_fract_x
_atom_site_fract_y
_atom_site_fract_z
Nd1 Nd 0.0000 0.0000 0.0000
Sm1 Sm 0.5000 0.0000 0.7180
Ga1 Ga 0.5000 0.0000 0.4219
Ir1 Ir 0.0000 0.0000 0.2824
# E above lowest polymorph: 0.0 meV/atom
# ΔE_f: -0.654 eV per atom

---

13.
# NdSmGaIr PBE-GGA optimized geometry
data_NdSmGaIr
_chemical_formula_sum 'Nd4 Sm4 Ga4 Ir4'
_cell_length_a 7.2053
_cell_length_b 7.2053
_cell_length_c 7.2053
_cell_angle_alpha 90.00
_cell_angle_beta 90.00
_cell_angle_gamma 90.00
_space_group_name_H-M_alt 'F -4 3 m'
_space_group_IT_number 216
_space_group_name_Hall 'F -4 2 3'
loop_
_atom_site_label
_atom_site_type_symbol
_atom_site_fract_x
_atom_site_fract_y
_atom_site_fract_z
Nd1 Nd 0.0000 0.0000 0.0000
Sm1 Sm 0.0000 0.0000 0.5000
Ga1 Ga 0.2500 0.2500 0.7500
Ir1 Ir 0.2500 0.2500 0.2500
# E above lowest polymorph: 119.0 meV/atom
# ΔE_f: -0.535 eV per atom

---

14.
# Nd2Ga3SnIr4 PBE-GGA optimized geometry
data_Nd2Ga3SnIr4
_chemical_formula_sum 'Nd2 Ga3 Sn1 Ir4'
_cell_length_a 4.3493
_cell_length_b 4.3493
_cell_length_c 10.4164
_cell_angle_alpha 90.00
_cell_angle_beta 90.00
_cell_angle_gamma 90.00
_space_group_name_H-M_alt 'P -4 m 2'
_space_group_IT_number 115
loop_
_space_group_symop_operation_xyz
'x,y,z'
'y,-x,-z'
'-x,-y,z'
'-y,x,-z'
'-x,y,z'
'-y,-x,-z'
'x,-y,z'
'y,x,-z'
loop_
_atom_site_label
_atom_site_type_symbol
_atom_site_fract_x
_atom_site_fract_y
_atom_site_fract_z
Nd1 Nd 0.0000 0.5000 0.2310
Ga1 Ga 0.0000 0.5000 0.8782
Ga2 Ga 0.5000 0.5000 0.5000
Sn1 Sn 0.0000 0.0000 0.5000
Ir1 Ir 0.0000 0.0000 0.0000
Ir2 Ir 0.0000 0.5000 0.6401
Ir3 Ir 0.5000 0.5000 0.0000
# ΔE_f: -0.664 eV per atom

---

15.
# Nd2Ga4SnIr3 PBE-GGA optimized geometry
data_Nd2Ga4SnIr3
_chemical_formula_sum 'Nd2 Ga4 Sn1 Ir3'
_cell_length_a 4.2001
_cell_length_b 4.2001
_cell_length_c 11.2060
_cell_angle_alpha 90.00
_cell_angle_beta 90.00
_cell_angle_gamma 90.00
_space_group_name_H-M_alt 'P -4 m 2'
_space_group_IT_number 115
loop_
_space_group_symop_operation_xyz
'x,y,z'
'y,-x,-z'
'-x,-y,z'
'-y,x,-z'
'-x,y,z'
'-y,-x,-z'
'x,-y,z'
'y,x,-z'
loop_
_atom_site_label
_atom_site_type_symbol
_atom_site_fract_x
_atom_site_fract_y
_atom_site_fract_z
Nd1 Nd 0.0000 0.5000 0.2367
Ga1 Ga 0.0000 0.0000 0.0000
Ga2 Ga 0.0000 0.5000 0.6503
Ga3 Ga 0.5000 0.5000 0.0000
Sn1 Sn 0.0000 0.0000 0.5000
Ir1 Ir 0.0000 0.5000 0.8714
Ir2 Ir 0.5000 0.5000 0.5000
# ΔE_f: -0.598 eV per atom

---

16.
# SrNdGa2Ir2 PBE-GGA optimized geometry
data_SrNdGa2Ir2
_chemical_formula_sum 'Sr1 Nd1 Ga2 Ir2'
_cell_length_a 4.3266
_cell_length_b 4.3266
_cell_length_c 8.4622
_cell_angle_alpha 90.00
_cell_angle_beta 90.00
_cell_angle_gamma 120.00
_space_group_name_H-M_alt 'P -3 m 1'
_space_group_IT_number 164
_space_group_name_Hall '-P 3 2"'
loop_
_atom_site_label
_atom_site_type_symbol
_atom_site_fract_x
_atom_site_fract_y
_atom_site_fract_z
Sr1 Sr 0.0000 0.0000 0.0000
Nd1 Nd 0.0000 0.0000 0.5000
Ga1 Ga 0.3333 0.6667 0.7362
Ir1 Ir 0.3333 0.6667 0.2793
# ΔE_f: -0.621 eV per atom

---

17.
# TbNdGa2Ir2 PBE-GGA optimized geometry
data_TbNdGa2Ir2
_chemical_formula_sum 'Tb1 Nd1 Ga2 Ir2'
_cell_length_a 4.4061
_cell_length_b 4.4061
_cell_length_c 7.3683
_cell_angle_alpha 90.00
_cell_angle_beta 90.00
_cell_angle_gamma 120.00
_space_group_name_H-M_alt 'P -3 m 1'
_space_group_IT_number 164
_space_group_name_Hall '-P 3 2"'
loop_
_atom_site_label
_atom_site_type_symbol
_atom_site_fract_x
_atom_site_fract_y
_atom_site_fract_z
Tb1 Tb 0.0000 0.0000 0.0000
Nd1 Nd 0.0000 0.0000 0.5000
Ga1 Ga 0.3333 0.6667 0.7658
Ir1 Ir 0.3333 0.6667 0.2346
# ΔE_f: -0.759 eV per atom

---

18.
# NdThGaIr PBE-GGA optimized geometry
data_NdThGaIr
_chemical_formula_sum 'Nd2 Th2 Ga2 Ir2'
_cell_length_a 3.9955
_cell_length_b 4.2008
_cell_length_c 11.8503
_cell_angle_alpha 90.00
_cell_angle_beta 90.00
_cell_angle_gamma 90.00
_space_group_name_H-M_alt 'A m m 2'
_space_group_IT_number 38
loop_
_space_group_symop_operation_xyz
'x,y,z'
'-x,-y,z'
'-x,y,z'
'x,-y,z'
'x,y+1/2,z+1/2'
'-x,-y+1/2,z+1/2'
'-x,y+1/2,z+1/2'
'x,-y+1/2,z+1/2'
loop_
_atom_site_label
_atom_site_type_symbol
_atom_site_fract_x
_atom_site_fract_y
_atom_site_fract_z
Nd1 Nd 0.0000 0.0000 0.0000
Th1 Th 0.5000 0.0000 0.2763
Ga1 Ga 0.5000 0.0000 0.5788
Ir1 Ir 0.0000 0.0000 0.7392
# ΔE_f: -0.762 eV per atom

---

19.
# Nd2TiGa3Ir4 PBE-GGA optimized geometry
data_Nd2TiGa3Ir4
_chemical_formula_sum 'Nd2 Ti1 Ga3 Ir4'
_cell_length_a 4.2094
_cell_length_b 4.2094
_cell_length_c 10.7471
_cell_angle_alpha 90.00
_cell_angle_beta 90.00
_cell_angle_gamma 90.00
_space_group_name_H-M_alt 'P -4 m 2'
_space_group_IT_number 115
loop_
_space_group_symop_operation_xyz
'x,y,z'
'y,-x,-z'
'-x,-y,z'
'-y,x,-z'
'-x,y,z'
'-y,-x,-z'
'x,-y,z'
'y,x,-z'
loop_
_atom_site_label
_atom_site_type_symbol
_atom_site_fract_x
_atom_site_fract_y
_atom_site_fract_z
Nd1 Nd 0.0000 0.5000 0.2338
Ti1 Ti 0.0000 0.0000 0.5000
Ga1 Ga 0.0000 0.5000 0.8738
Ga2 Ga 0.5000 0.5000 0.5000
Ir1 Ir 0.0000 0.0000 0.0000
Ir2 Ir 0.0000 0.5000 0.6377
Ir3 Ir 0.5000 0.5000 0.0000
# ΔE_f: -0.729 eV per atom

---

20.
# NdTmGaIr PBE-GGA optimized geometry
data_NdTmGaIr
_chemical_formula_sum 'Nd4 Tm4 Ga4 Ir4'
_cell_length_a 7.0875
_cell_length_b 7.0875
_cell_length_c 7.0875
_cell_angle_alpha 90.00
_cell_angle_beta 90.00
_cell_angle_gamma 90.00
_space_group_name_H-M_alt 'F -4 3 m'
_space_group_IT_number 216
_space_group_name_Hall 'F -4 2 3'
loop_
_atom_site_label
_atom_site_type_symbol
_atom_site_fract_x
_atom_site_fract_y
_atom_site_fract_z
Nd1 Nd 0.0000 0.0000 0.0000
Tm1 Tm 0.0000 0.0000 0.5000
Ga1 Ga 0.2500 0.2500 0.7500
Ir1 Ir 0.2500 0.2500 0.2500
# E above lowest polymorph: 92.0 meV/atom
# ΔE_f: -0.600 eV per atom